The following is a DFT calculation (PBE) of an optimized crystal structure of Pa3InH.

Cell: 4.6984 4.6984 4.6984 Å, 90.00 90.00 90.00°
Last column: nearest neighbours and their distance in Å.
Sites, in units of the cell vectors:
Pa: 0.0000 0.0000 0.5000  2 H 2.35
Pa: 0.0000 0.5000 0.0000  2 H 2.35
Pa: 0.5000 0.0000 0.0000  2 H 2.35
In: 0.5000 0.5000 0.5000  12 Pa 3.32
H: 0.0000 0.0000 0.0000  6 Pa 2.35

Properties
Electronic total energy   -6.992 eV per atom